1.
Compound: La2Ga2Hg
Source: Alexandria via LeMat-Bulk
Functional: PBE
Structure: optimized geometry

a b c (Å): 6.067 6.067 8.209
angles (deg): 90.00 90.00 90.00
Space group I4/mmm (No. 139)
Unique sites:
1 La 0.000 0.500 0.250 [4 per cell]
2 Ga 0.000 0.000 0.150 [4 per cell]
3 Hg 0.000 0.000 0.500 [2 per cell]

Polymorph energy (0 for the lowest one): 345 meV/atom
Total DFT energy (no corrections): -34.7 eV/cell


2.
Compound: LaGaHg
Source: Alexandria via LeMat-Bulk
Functional: PBE
Structure: optimized geometry

a b c (Å): 4.8068 4.8068 23.8398
angles (deg): 90.00 90.00 120.00
Space group R3m (No. 160, hexagonal axes)
Unique sites:
1 La 0.0000 0.0000 0.0000 [3 per cell]
2 La 0.0000 0.0000 0.1642 [3 per cell]
3 Ga 0.0000 0.0000 0.7572 [3 per cell]
4 Ga 0.0000 0.0000 0.8759 [3 per cell]
5 Hg 0.0000 0.0000 0.4131 [3 per cell]
6 Hg 0.0000 0.0000 0.5842 [3 per cell]

Total DFT energy (no corrections): -58.6 eV/cell


Result set for energy of formation from the pure elements: -231.4; -501.5 meV/atom, one per record in the order listed.